[1]
CoBiTe2N PBE-GGA optimized geometry; energy relative to the elements, uncorrected = 1.47 eV per formula unit; symmetry = No. 123; DOS at the Fermi energy = 4.008 states/eV/f.u.
1.0
5.493 0.000 0.000
0.000 5.493 0.000
0.000 0.000 3.523
N Co Bi Te
1 1 1 2
direct
0.000 0.000 0.500
0.000 0.000 0.000
0.500 0.500 0.500
0.000 0.500 0.000
0.500 0.000 0.000


[2]
NaCo2Bi PBE-GGA optimized geometry; symmetry = No. 122; ΔE_f = 3.5 eV per formula unit; DOS at the Fermi energy = 7.636 states/eV/f.u.
1.0
7.492 0.000 0.000
0.000 7.492 0.000
3.746 3.746 2.797
Na Co Bi
2 4 2
direct
0.250 0.750 0.500
0.500 0.500 0.000
0.875 0.898 0.750
0.648 0.125 0.250
0.102 0.625 0.250
0.375 0.352 0.750
0.000 0.000 0.000
0.750 0.250 0.500